Entry 1:
MnPbO3 at its PBEsol-relaxed geometry, computed with SCAN.

```
MnPbO3
1.0
-4.3741 -3.0659 -1.1481
1.8792 0.2619 5.1235
-7.8304 10.7415 2.1080
Mn Pb O
6 6 18
direct
0.0000 0.0000 0.0000
0.0000 0.0000 0.5000
0.3472 0.6722 0.1551
0.3278 0.6528 0.3449
0.6528 0.3278 0.8449
0.6722 0.3472 0.6551
0.9900 0.0100 0.7500
0.0100 0.9900 0.2500
0.3288 0.6718 0.9086
0.3282 0.6712 0.5914
0.6712 0.3282 0.0914
0.6718 0.3288 0.4086
0.5129 0.4871 0.7500
0.4871 0.5129 0.2500
0.5128 0.0396 0.7390
0.9604 0.4872 0.7610
0.4872 0.9604 0.2610
0.0396 0.5128 0.2390
0.7879 0.1173 0.9183
0.8827 0.2121 0.5817
0.2121 0.8827 0.0817
0.1173 0.7879 0.4183
0.2885 0.1163 0.9048
0.8837 0.7115 0.5952
0.7115 0.8837 0.0952
0.1163 0.2885 0.4048
0.7932 0.6266 0.9390
0.3734 0.2068 0.5610
0.2068 0.3734 0.0610
0.6266 0.7932 0.4390
```

Values from the calculation:
total DFT energy (no corrections): -727.71 eV/cell
symmetry: C2/c, No. 15
magnetic moment: 3.0 μB per formula unit
density: 8.9 g cm⁻³
uncorrected formation energy: -8.6 eV per formula unit

---

Entry 2:
K2SbBr at its PBEsol-relaxed geometry, computed with SCAN.

```
K2SbBr
1.0
-5.0771 -0.2694 -2.8972
-0.0728 -1.5737 -5.6357
-2.2066 -5.1903 -1.5602
Br K Sb
1 2 1
direct
0.0000 0.0000 0.0000
0.2500 0.2500 0.2500
0.7500 0.7500 0.7500
0.5000 0.5000 0.5000
```

Values from the calculation:
total DFT energy (no corrections): -76.23 eV/cell
symmetry: Fm-3m, No. 225
magnetic moment: 2.0 μB per formula unit
ΔE to the lowest computed polymorph: 0.000 kcal/mol of atoms
density: 3.3 g cm⁻³
uncorrected formation energy: -2.9 eV per formula unit

---

Entry 3:
Fe3Pt at its PBEsol-relaxed geometry, computed with SCAN.

```
Fe3Pt
1.0
3.6686 0.0000 0.0000
0.0000 3.6686 0.0000
0.0000 0.0000 3.6686
Fe Pt
3 1
direct
0.0000 0.0000 0.5000
0.0000 0.5000 0.0000
0.5000 0.0000 0.0000
0.5000 0.5000 0.5000
```

Values from the calculation:
total DFT energy (no corrections): -125.56 eV/cell
symmetry: Pm-3m, No. 221
magnetic moment: 9.1 μB per formula unit
density: 12.2 g cm⁻³

---

Entry 4:
K2AsPb at its PBEsol-relaxed geometry, computed with SCAN.

```
K2AsPb
1.0
4.1569 0.0000 0.0000
0.0000 5.6357 0.0000
-2.0785 -2.8179 5.5799
Pb As K
1 1 2
direct
0.5537 0.5537 0.1073
0.2151 0.7151 0.4302
0.9647 0.9647 0.9295
0.7665 0.2665 0.5330
```

Values from the calculation:
total DFT energy (no corrections): -114.27 eV/cell
symmetry: Imm2, No. 44
magnetic moment: 0.0 μB per formula unit
ΔE to the lowest computed polymorph: 0.480 kcal/mol of atoms
density: 4.6 g cm⁻³

---

Entry 5:
RbCdMoBr2 at its PBEsol-relaxed geometry, computed with SCAN.

```
RbCdMoBr2
1.0
-0.9646 4.9593 2.1088
-2.4668 1.6014 -4.8945
-5.0505 -1.8126 1.9525
Mo Br Rb Cd
1 2 1 1
direct
0.5000 0.0000 0.0000
0.0000 0.0000 0.5000
0.0000 0.5000 0.0000
0.5000 0.5000 0.5000
0.0000 0.0000 0.0000
```

Values from the calculation:
total DFT energy (no corrections): -124.48 eV/cell
symmetry: P4/mmm, No. 123
magnetic moment: 5.2 μB per formula unit
density: 4.2 g cm⁻³
uncorrected formation energy: 0.5 eV per formula unit

---

Entry 6:
Ta3HgO at its PBEsol-relaxed geometry, computed with SCAN.

```
Ta3HgO
1.0
-0.3792 0.1173 -4.2237
2.2867 -3.5603 -0.3042
-3.5531 -2.3039 0.2550
Hg O Ta
1 1 3
direct
0.5000 0.5000 0.5000
0.0000 0.0000 0.0000
0.0000 0.5000 0.0000
0.0000 0.0000 0.5000
0.5000 0.0000 0.0000
```

Values from the calculation:
total DFT energy (no corrections): -276.05 eV/cell
symmetry: Pm-3m, No. 221
magnetic moment: 0.0 μB per formula unit
density: 16.5 g cm⁻³
uncorrected formation energy: -1.9 eV per formula unit